Entry 1:
A plane-wave DFT calculation with PBE-GGA was carried out for a relaxed ZrBi2Ru crystal.

Cell and atoms, written as CIF:
```
data_ZrBi2Ru
_cell_length_a 4.423
_cell_length_b 4.423
_cell_length_c 20.065
_cell_angle_alpha 90.00
_cell_angle_beta 90.00
_cell_angle_gamma 90.00
_space_group_name_H-M_alt 'I -4 2 d'
_space_group_IT_number 122
_space_group_name_Hall 'I -4 2bw'
loop_
_atom_site_label
_atom_site_fract_x
_atom_site_fract_y
_atom_site_fract_z
Zr1 0.000 0.000 0.000
Bi1 0.237 0.250 0.625
Ru1 0.000 0.000 0.500
```

Computed properties:
- Density of states at the Fermi level: 12.3 states/eV per cell
- DFT formation energy: 382 meV per atom
- Crystal system: tetragonal
- Raw total energy: -6.01 eV per atom


Entry 2:
A plane-wave DFT calculation with PBE-GGA was carried out for a relaxed ZrBi2Ru2 crystal.

Cell and atoms, written as CIF:
```
data_ZrBi2Ru2
_cell_length_a 4.266
_cell_length_b 4.266
_cell_length_c 12.420
_cell_angle_alpha 90.00
_cell_angle_beta 90.00
_cell_angle_gamma 90.00
_space_group_name_H-M_alt 'I 4/m m m'
_space_group_IT_number 139
_space_group_name_Hall '-I 4 2'
loop_
_atom_site_label
_atom_site_fract_x
_atom_site_fract_y
_atom_site_fract_z
Zr1 0.000 0.000 0.000
Bi1 0.000 0.500 0.250
Ru1 0.000 0.000 0.405
```

Computed properties:
- Density of states at the Fermi level: 7.3 states/eV per cell
- DFT formation energy: 479 meV per atom
- Crystal system: tetragonal
- Raw total energy: -6.49 eV per atom


Entry 3:
A plane-wave DFT calculation with PBE-GGA was carried out for a relaxed ZrBi2Ru2 crystal.

Cell and atoms, written as CIF:
```
data_ZrBi2Ru2
_cell_length_a 7.083
_cell_length_b 7.083
_cell_length_c 4.202
_cell_angle_alpha 90.00
_cell_angle_beta 90.00
_cell_angle_gamma 90.00
_space_group_name_H-M_alt 'P 4/m b m'
_space_group_IT_number 127
_space_group_name_Hall '-P 4 2ab'
loop_
_atom_site_label
_atom_site_fract_x
_atom_site_fract_y
_atom_site_fract_z
Zr1 0.000 0.000 0.000
Bi1 0.175 0.325 0.500
Ru1 0.130 0.630 0.000
```

Computed properties:
- Density of states at the Fermi level: 7.6 states/eV per cell
- DFT formation energy: 181 meV per atom
- Crystal system: tetragonal
- Raw total energy: -6.79 eV per atom


Entry 4:
A plane-wave DFT calculation with PBE-GGA was carried out for a relaxed ZrBi3Ru crystal.

Cell and atoms, written as CIF:
```
data_ZrBi3Ru
_cell_length_a 5.256
_cell_length_b 5.256
_cell_length_c 5.256
_cell_angle_alpha 90.00
_cell_angle_beta 90.00
_cell_angle_gamma 90.00
_space_group_name_H-M_alt 'P m -3 m'
_space_group_IT_number 221
_space_group_name_Hall '-P 4 2 3'
loop_
_atom_site_label
_atom_site_fract_x
_atom_site_fract_y
_atom_site_fract_z
Zr1 0.000 0.000 0.000
Bi1 0.000 0.500 0.500
Ru1 0.500 0.500 0.500
```

Computed properties:
- Density of states at the Fermi level: 9.2 states/eV per cell
- DFT formation energy: 702 meV per atom
- Crystal system: cubic
- Raw total energy: -5.19 eV per atom


Question: Which of these has the lowest DFT formation energy?
Answer: number 3


Please write out number 4 again, unchanged.
A plane-wave DFT calculation with PBE-GGA was carried out for a relaxed ZrBi3Ru crystal.

Cell and atoms, written as CIF:
```
data_ZrBi3Ru
_cell_length_a 5.256
_cell_length_b 5.256
_cell_length_c 5.256
_cell_angle_alpha 90.00
_cell_angle_beta 90.00
_cell_angle_gamma 90.00
_space_group_name_H-M_alt 'P m -3 m'
_space_group_IT_number 221
_space_group_name_Hall '-P 4 2 3'
loop_
_atom_site_label
_atom_site_fract_x
_atom_site_fract_y
_atom_site_fract_z
Zr1 0.000 0.000 0.000
Bi1 0.000 0.500 0.500
Ru1 0.500 0.500 0.500
```

Computed properties:
- Density of states at the Fermi level: 9.2 states/eV per cell
- DFT formation energy: 702 meV per atom
- Crystal system: cubic
- Raw total energy: -5.19 eV per atom


Question: What is the density of states at the Fermi level in the second record?
Answer: 7.3 states/eV per cell


Question: Which formula does entry 2 have?
Answer: ZrBi2Ru2